Entry 1:
LiBe2NbO: optimized geometry, PBE-GGA.

Calculated values
V, Å³/atom: 18.5
E_form (uncorrected), meV/atom: 235
E_tot, eV/cell: -23.22

abc: 4.867 4.867 3.902
angles: 90.00 90.00 90.00
Fractional positions:
Li 0.000 0.000 0.000
Be 0.000 0.500 0.500
Be 0.500 0.000 0.500
Nb 0.500 0.500 0.500
O 0.500 0.500 0.000

Entry 2:
YReClO4: optimized geometry, PBE-GGA.

Calculated values
V, Å³/atom: 17.8
E_form (uncorrected), meV/atom: -2143
E_tot, eV/cell: -111.19

abc: 6.327 6.327 6.970
angles: 103.00 103.00 68.25
Fractional positions:
Y 0.218 0.218 0.097
Y 0.782 0.782 0.903
Re 0.366 0.366 0.716
Re 0.634 0.634 0.284
Cl 0.007 0.007 0.767
Cl 0.993 0.993 0.233
O 0.118 0.477 0.854
O 0.287 0.287 0.460
O 0.459 0.459 0.213
O 0.477 0.118 0.854
O 0.523 0.882 0.146
O 0.541 0.541 0.787
O 0.713 0.713 0.540
O 0.882 0.523 0.146